Entry 1:
{
  "formula": "GdErFeOs",
  "functional": "GGA-PBE",
  "state": "optimized geometry",
  "lattice_angstrom": [[4.833, 0.000, 0.000], [2.417, 4.186, 0.000], [2.417, 1.395, 3.946]],
  "species": ["Os", "Gd", "Er", "Fe"],
  "frac_coords": [[0.750, 0.750, 0.750], [0.500, 0.500, 0.500], [0.000, 0.000, 0.000], [0.250, 0.250, 0.250]],
  "sg": "F-43m",
  "crystal_system": "cubic",
  "ef_mev_per_atom": 27
}


Entry 2:
{
  "formula": "TbMg2SiPd2",
  "functional": "GGA-PBE",
  "state": "optimized geometry",
  "lattice_angstrom": [[-1.784, -1.865, -4.276], [4.640, -0.233, -1.835], [-0.909, -3.892, 4.994]],
  "species": ["Si", "Pd", "Pd", "Mg", "Mg", "Tb"],
  "frac_coords": [[0.000, 0.000, 0.000], [0.213, 0.213, 0.427], [0.787, 0.787, 0.573], [0.250, 0.750, 0.500], [0.750, 0.250, 0.500], [0.500, 0.500, 0.000]],
  "sg": "I4/mmm",
  "crystal_system": "tetragonal",
  "e_form_raw_kj_per_mol_atoms": -28.97
}


Entry 3:
{
  "formula": "MoAs2Au",
  "functional": "GGA-PBE",
  "state": "optimized geometry",
  "lattice_angstrom": [[-0.159, 2.005, -1.994], [-2.406, -1.493, -0.049], [-4.116, 6.409, 6.771]],
  "species": ["As", "As", "Au", "Mo"],
  "frac_coords": [[0.000, 0.000, 0.551], [0.000, 0.000, 0.949], [0.500, 0.500, 0.250], [0.500, 0.500, 0.750]],
  "sg": "Cmmm",
  "crystal_system": "orthorhombic",
  "relative_energy_ev_per_atom": 0.200,
  "ef_mev_per_atom": 232
}


Entry 4:
{
  "formula": "Cs2Be2Au",
  "functional": "GGA-PBE",
  "state": "optimized geometry",
  "lattice_angstrom": [[-8.341, 4.743, 2.968], [2.588, -1.453, 9.595], [2.040, 3.592, -0.006]],
  "species": ["Be", "Be", "Be", "Be", "Cs", "Cs", "Cs", "Cs", "Au", "Au"],
  "frac_coords": [[0.924, 0.424, 0.500], [0.424, 0.076, 0.500], [0.576, 0.924, 0.500], [0.076, 0.576, 0.500], [0.793, 0.707, 0.000], [0.293, 0.793, 0.000], [0.207, 0.293, 0.000], [0.707, 0.207, 0.000], [0.000, 0.000, 0.000], [0.500, 0.500, 0.000]],
  "sg": "P4/mbm",
  "crystal_system": "tetragonal",
  "relative_energy_ev_per_atom": 0.364,
  "ef_mev_per_atom": 976
}


Entry 5:
{
  "formula": "CeNdCdGe",
  "functional": "GGA-PBE",
  "state": "optimized geometry",
  "lattice_angstrom": [[5.291, 0.000, 0.000], [2.646, 4.582, 0.000], [2.646, 1.527, 4.320]],
  "species": ["Ce", "Ge", "Cd", "Nd"],
  "frac_coords": [[0.500, 0.500, 0.500], [0.250, 0.250, 0.250], [0.750, 0.750, 0.750], [0.000, 0.000, 0.000]],
  "sg": "F-43m",
  "crystal_system": "cubic",
  "ef_mev_per_atom": -413
}


Entry 6:
{
  "formula": "Cs2ZnCdBr6",
  "functional": "GGA-PBE",
  "state": "optimized geometry",
  "lattice_angstrom": [[7.744, 0.655, -1.230], [4.426, 7.705, -0.098], [2.961, 3.366, 6.428]],
  "species": ["Cs", "Cs", "Zn", "Br", "Br", "Br", "Br", "Br", "Br", "Cd"],
  "frac_coords": [[0.056, 0.094, 0.812], [0.548, 0.542, 0.314], [0.223, 0.312, 0.145], [0.060, 0.550, 0.278], [0.604, 0.108, 0.226], [0.568, 0.599, 0.768], [0.616, 0.047, 0.788], [0.144, 0.521, 0.765], [0.099, 0.073, 0.296], [0.744, 0.817, 0.623]],
  "sg": "P1",
  "crystal_system": "triclinic",
  "e_form_raw_kj_per_mol_atoms": -119.64,
  "relative_energy_ev_per_atom": 0.000
}


Entry 7:
{
  "formula": "Pr2AlSi",
  "functional": "GGA-PBE",
  "state": "optimized geometry",
  "lattice_angstrom": [[4.096, 0.000, 0.000], [0.000, 6.142, -0.098], [0.000, -3.192, 8.463]],
  "species": ["Pr", "Pr", "Pr", "Pr", "Al", "Al", "Si", "Si"],
  "frac_coords": [[0.250, 0.788, 0.069], [0.750, 0.220, 0.427], [0.750, 0.212, 0.931], [0.250, 0.780, 0.573], [0.250, 0.366, 0.719], [0.750, 0.634, 0.281], [0.250, 0.362, 0.213], [0.750, 0.638, 0.787]],
  "sg": "P2_1/m",
  "crystal_system": "monoclinic",
  "e_form_raw_kj_per_mol_atoms": -56.81
}


Entry 8:
{
  "formula": "ZrTeI2F",
  "functional": "GGA-PBE",
  "state": "optimized geometry",
  "lattice_angstrom": [[5.691, 0.000, 0.000], [0.000, 5.691, 0.000], [0.000, 0.000, 4.274]],
  "species": ["Zr", "F", "I", "I", "Te"],
  "frac_coords": [[0.500, 0.500, 0.500], [0.000, 0.000, 0.000], [0.000, 0.500, 0.000], [0.500, 0.000, 0.000], [0.000, 0.000, 0.500]],
  "sg": "P4/mmm",
  "crystal_system": "tetragonal",
  "e_form_raw_kj_per_mol_atoms": -1.06,
  "relative_energy_ev_per_atom": 0.491
}


Entry 9:
{
  "formula": "GaAg2Ge",
  "functional": "GGA-PBE",
  "state": "optimized geometry",
  "lattice_angstrom": [[-2.869, 1.700, 2.889], [-4.334, -0.568, -0.600], [-2.228, -3.581, 3.263]],
  "species": ["Ga", "Ag", "Ag", "Ge"],
  "frac_coords": [[0.677, 0.677, 0.968], [0.068, 0.068, 0.795], [0.270, 0.270, 0.190], [0.484, 0.484, 0.547]],
  "sg": "R3m",
  "crystal_system": "trigonal",
  "ef_mev_per_atom": 152
}


Entry 10:
{
  "formula": "UBeGa",
  "functional": "GGA-PBE",
  "state": "optimized geometry",
  "lattice_angstrom": [[-1.016, 2.673, 0.212], [-1.494, -0.233, -4.217], [-2.642, -1.273, 3.386]],
  "species": ["Be", "U", "Ga"],
  "frac_coords": [[0.167, 0.000, 0.000], [0.667, 0.333, 0.667], [0.167, 0.667, 0.333]],
  "sg": "P-6m2",
  "crystal_system": "hexagonal",
  "relative_energy_ev_per_atom": 0.000,
  "ef_mev_per_atom": 30
}


Entry 11:
{
  "formula": "Ce2GaPt",
  "functional": "GGA-PBE",
  "state": "optimized geometry",
  "lattice_angstrom": [[-3.473, -0.087, 1.448], [-1.152, -2.118, -2.890], [1.518, -5.355, 3.320]],
  "species": ["Ce", "Ce", "Ga", "Pt"],
  "frac_coords": [[0.000, 0.000, 0.757], [0.000, 0.000, 0.243], [0.500, 0.500, 0.500], [0.500, 0.500, 0.000]],
  "sg": "P4/mmm",
  "crystal_system": "tetragonal",
  "ef_mev_per_atom": -709
}


Entry 12:
{
  "formula": "ZnHg2Sb",
  "functional": "GGA-PBE",
  "state": "optimized geometry",
  "lattice_angstrom": [[-0.654, -4.333, 0.169], [2.640, 1.795, 5.004], [-2.951, 0.131, 3.241]],
  "species": ["Zn", "Hg", "Hg", "Sb"],
  "frac_coords": [[0.500, 0.500, 0.000], [0.500, 0.000, 0.500], [0.000, 0.000, 0.000], [0.000, 0.500, 0.500]],
  "sg": "Fmmm",
  "crystal_system": "orthorhombic",
  "e_form_raw_kj_per_mol_atoms": 12.79,
  "relative_energy_ev_per_atom": 0.053
}